VASP calculation (PBE-GGA) on crystalline Sm4Tm4Tl at its relaxed geometry.

Cell: 4.889 7.922 7.922 Å, 84.54 72.03 72.03°
Atoms (fractional coordinates):
Tm  0.337  0.663  0.663
Sm  0.338  0.325  0.000
Sm  0.338  0.000  0.325
Tm  0.663  0.337  0.337
Tm  0.000  0.337  0.663
Sm  0.662  0.000  0.675
Tm  0.000  0.663  0.337
Sm  0.662  0.675  0.000
Tl  0.000  0.000  0.000

- calculated total energy (eV/atom) = -4.3823
- symmetry = I4/mmm (139)
- energy of formation (eV per atom) = -0.035
- V (Å³/cell) = 278



VASP calculation (PBE-GGA) on crystalline FePb2 at its relaxed geometry.

Cell: 10.527 10.527 4.209 Å, 90.00 90.00 161.16°
Last column: magnetic moment on the atom in μB.
Atoms (fractional coordinates):
Pb  0.423  0.577  0.250  -0.05
Pb  0.577  0.423  0.750  -0.05
Pb  0.695  0.305  0.250  -0.01
Fe  0.032  0.968  0.250  2.56
Pb  0.305  0.695  0.750  -0.01
Fe  0.968  0.032  0.750  2.56

- calculated total energy (eV/atom) = -4.9217
- symmetry = Cmcm (63)
- energy of formation (eV per atom) = 0.371
- V (Å³/cell) = 151



Results for mass density: 8.862, 10.372 (in g/cm3, following the order of the records).